No. 1
{
  "formula": "Ho2Pd5Rh",
  "functional": "PBE",
  "state": "optimized geometry",
  "e_tot_ev_per_atom": -6.105,
  "dos_ef_per_ev_atom": 1.105,
  "space_group": "Pbam (55)",
  "e_form_kj_per_mol_atoms": -76.8,
  "cell": [[4.063, 0.000, 0.000], [0.000, 5.819, 0.000], [0.000, 0.000, 11.651]],
  "species": ["Ho", "Ho", "Ho", "Ho", "Pd", "Pd", "Pd", "Pd", "Pd", "Pd", "Pd", "Pd", "Pd", "Pd", "Rh", "Rh"],
  "frac_coords": [[0.500, 0.247, 0.623], [0.500, 0.747, 0.877], [0.500, 0.253, 0.123], [0.500, 0.753, 0.377], [0.500, 0.247, 0.376], [0.000, 0.500, 0.500], [0.000, 0.003, 0.751], [0.000, 0.997, 0.249], [0.000, 0.497, 0.251], [0.500, 0.753, 0.624], [0.000, 0.503, 0.749], [0.000, 0.000, 0.000], [0.500, 0.253, 0.876], [0.500, 0.747, 0.124], [0.000, 0.000, 0.500], [0.000, 0.500, 0.000]]
}



No. 2
{
  "formula": "Ho3PdRh",
  "functional": "PBE",
  "state": "optimized geometry",
  "polymorph_energy_mev_per_atom": 0.0,
  "e_tot_ev_per_atom": -5.967,
  "dos_ef_per_ev_atom": 0.735,
  "space_group": "P2_1/m (11)",
  "e_form_kj_per_mol_atoms": -68.6,
  "cell": [[-3.869, 0.085, -0.020], [-0.095, -2.562, 7.636], [0.176, 8.085, 0.156]],
  "species": ["Ho", "Ho", "Ho", "Ho", "Ho", "Ho", "Pd", "Pd", "Rh", "Rh"],
  "frac_coords": [[0.250, 0.685, 0.046], [0.750, 0.068, 0.243], [0.250, 0.353, 0.601], [0.750, 0.315, 0.954], [0.250, 0.932, 0.757], [0.750, 0.647, 0.399], [0.750, 0.654, 0.775], [0.250, 0.346, 0.225], [0.250, 0.901, 0.384], [0.750, 0.099, 0.616]]
}